Below is a relaxed structure of BaLa4Cu5O12, with properties calculated at the PBEsol level.

Calculated values
Crystal system   tetragonal
Formation energy from raw total energies   -46.275 eV/f.u.

Unit cell a=8.564 b=8.564 c=3.828 alpha=90.00 beta=90.00 gamma=90.00
Positions (direct):
Ba (0.000, 0.000, 0.000)
La (0.204, 0.373, 0.000)
La (0.373, 0.796, 0.000)
La (0.627, 0.204, 0.000)
La (0.796, 0.627, 0.000)
Cu (0.092, 0.667, 0.500)
Cu (0.333, 0.092, 0.500)
Cu (0.500, 0.500, 0.500)
Cu (0.667, 0.908, 0.500)
Cu (0.908, 0.333, 0.500)
O (0.089, 0.654, 0.000)
O (0.106, 0.232, 0.500)
O (0.232, 0.894, 0.500)
O (0.286, 0.556, 0.500)
O (0.346, 0.089, 0.000)
O (0.444, 0.286, 0.500)
O (0.556, 0.714, 0.500)
O (0.654, 0.911, 0.000)
O (0.714, 0.444, 0.500)
O (0.768, 0.106, 0.500)
O (0.894, 0.768, 0.500)
O (0.911, 0.346, 0.000)

=====

Below is a relaxed structure of LiCdTc3, with properties calculated at the PBEsol level.

Calculated values
Crystal system   cubic
Formation enthalpy at 0 K   257.5 kJ/mol of atoms

Unit cell a=4.850 b=4.850 c=4.850 alpha=90.00 beta=90.00 gamma=90.00
Positions (direct):
Li (0.000, 0.000, 0.000)
Cd (0.500, 0.500, 0.500)
Tc (0.000, 0.500, 0.500)
Tc (0.500, 0.000, 0.500)
Tc (0.500, 0.500, 0.000)

=====

Below is a relaxed structure of Tb2FeGeO6, with properties calculated at the PBEsol level.

Calculated values
Crystal system   triclinic
Formation energy from raw total energies   -24.718 eV/f.u.

Unit cell a=5.272 b=5.310 c=5.430 alpha=92.45 beta=119.04 gamma=116.75
Positions (direct):
Tb (0.000, 0.239, 0.270)
Tb (0.000, 0.761, 0.730)
Fe (0.500, 0.500, 0.000)
Ge (0.500, 0.000, 0.500)
O (0.035, 0.791, 0.156)
O (0.372, 0.172, 0.691)
O (0.373, 0.682, 0.655)
O (0.627, 0.318, 0.345)
O (0.628, 0.828, 0.309)
O (0.965, 0.209, 0.844)

=====

Below is a relaxed structure of Cr2SiBr, with properties calculated at the PBEsol level.

Calculated values
Crystal system   trigonal
Formation energy from raw total energies   1.662 eV/f.u.
Energy relative to the lowest polymorph listed for this composition   0.62 eV per formula unit

Unit cell a=7.760 b=7.760 c=7.760 alpha=22.78 beta=22.78 gamma=22.78
Positions (direct):
Cr (0.000, 0.000, 0.000)
Cr (0.261, 0.261, 0.261)
Si (0.523, 0.523, 0.523)
Br (0.748, 0.748, 0.748)

=====

Copy entry 3 word for word.
Below is a relaxed structure of Tb2FeGeO6, with properties calculated at the PBEsol level.

Calculated values
Crystal system   triclinic
Formation energy from raw total energies   -24.718 eV/f.u.

Unit cell a=5.272 b=5.310 c=5.430 alpha=92.45 beta=119.04 gamma=116.75
Positions (direct):
Tb (0.000, 0.239, 0.270)
Tb (0.000, 0.761, 0.730)
Fe (0.500, 0.500, 0.000)
Ge (0.500, 0.000, 0.500)
O (0.035, 0.791, 0.156)
O (0.372, 0.172, 0.691)
O (0.373, 0.682, 0.655)
O (0.627, 0.318, 0.345)
O (0.628, 0.828, 0.309)
O (0.965, 0.209, 0.844)